[1]
Material: KGaGeBi2
Method: DFT, meta-GGA SCAN
State: PBEsol geometry

Cell: 5.4932 5.4932 5.8183 Å, 90.00 90.00 90.00°
Space group P4/mmm (No. 123)
Inequivalent atoms, fractional coordinates:
K 0.0000 0.0000 0.0000 [1 per cell]
Ga 0.5000 0.5000 0.0000 [1 per cell]
Ge 0.0000 0.0000 0.5000 [1 per cell]
Bi 0.0000 0.5000 0.5000 [2 per cell]

N(E_F): 0.58 states/eV per atom
Total DFT energy (no corrections): -198.72 eV for the cell shown
ΔH_f (0 K): 0.4407 eV/atom

***

[2]
Material: Nd2Zr2O7
Method: DFT, meta-GGA SCAN
State: PBEsol geometry

Cell: 10.6392 10.6392 10.6392 Å, 90.00 90.00 90.00°
Space group Fd-3m (No. 227, origin choice 2)
Inequivalent atoms, fractional coordinates:
Nd 0.0000 0.0000 0.0000 [16 per cell]
Zr 0.0000 0.0000 0.5000 [16 per cell]
O 0.0856 0.3750 0.8750 [48 per cell]
O 0.1250 0.1250 0.1250 [8 per cell]

N(E_F): 0.00 states/eV per atom
Total DFT energy (no corrections): -1872.18 eV for the cell shown
ΔE_f (raw): -3.804 eV/atom

***

[3]
Material: AlRhPb2
Method: DFT, meta-GGA SCAN
State: PBEsol geometry

Cell: 3.4723 3.4723 24.8047 Å, 90.00 90.00 120.00°
Space group R-3m (No. 166, hexagonal axes)
Inequivalent atoms, fractional coordinates:
Al 0.0000 0.0000 0.0000 [3 per cell]
Rh 0.0000 0.0000 0.5000 [3 per cell]
Pb 0.0000 0.0000 0.2425 [6 per cell]

N(E_F): 0.53 states/eV per atom
Total DFT energy (no corrections): -577.26 eV for the cell shown
ΔH_f (0 K): 0.1666 eV/atom

***

[4]
Material: Cd2InHg
Method: DFT, meta-GGA SCAN
State: PBEsol geometry

Cell: 3.3749 5.3592 10.1596 Å, 90.00 90.00 90.00°
Space group Cmm2 (No. 35)
Inequivalent atoms, fractional coordinates:
Cd 0.0000 0.0000 0.0000 [2 per cell]
Cd 0.0000 0.5000 0.2406 [2 per cell]
In 0.0000 0.5000 0.7419 [2 per cell]
Hg 0.0000 0.0000 0.4846 [2 per cell]

N(E_F): 0.32 states/eV per atom
Total DFT energy (no corrections): -324.18 eV for the cell shown
Energy relative to the lowest polymorph listed for this composition: 55 meV/atom
ΔH_f (0 K): 0.0722 eV/atom